DFT (GGA-PBE) results for crystalline Ac6LaNd at its relaxed geometry.

## Properties
- Magnetization: 0.00 μB per formula unit
- Symmetry: P4/mmm (123)
- Relative energy among the computed polymorphs: 0.0000 eV/atom

Cell and atoms, written as POSCAR:
```
Ac6LaNd
1.0
5.546 0.000 0.000
0.000 5.546 0.000
0.000 0.000 11.092
Ac La Nd
6 1 1
direct
0.500 0.000 0.751
0.500 0.500 0.500
0.000 0.500 0.751
0.500 0.000 0.249
0.500 0.500 0.000
0.000 0.500 0.249
0.000 0.000 0.500
0.000 0.000 0.000
```

***

DFT (GGA-PBE) results for crystalline ReHg2Pb at its relaxed geometry.

## Properties
- Magnetization: 0.98 μB per formula unit
- Symmetry: I-4m2 (119)

Cell and atoms, written as POSCAR:
```
ReHg2Pb
1.0
5.513 0.004 0.000
2.178 5.065 0.000
-3.846 -2.535 3.030
Hg Pb Re
2 1 1
direct
0.000 0.000 0.000
0.250 0.750 0.500
0.500 0.500 0.000
0.750 0.250 0.500
```

***

Number 1: final energy -4.2757 eV per atom. Number 2: final energy -3.2638 eV per atom.